# 1
Computed, not measured: LiDyLuAu after structural relaxation at the PBE level of DFT.

a = 5.0435 Å, b = 5.0435 Å, c = 5.0435 Å
α = 60.00°, β = 60.00°, γ = 60.00°
Closest atoms and distances in Å follow each position.
Fractional positions:
1 Li 0.0000 0.0000 0.0000  4 Lu 3.09, 4 Dy 3.09
2 Dy 0.2500 0.2500 0.2500  4 Li 3.09, 4 Au 3.09
3 Lu 0.7500 0.7500 0.7500  4 Li 3.09, 4 Au 3.09
4 Au 0.5000 0.5000 0.5000  4 Lu 3.09, 4 Dy 3.09

## Properties
Space group: F-43m, No. 216
E_form: -423 meV/atom


# 2
Computed, not measured: TbPrEu2 after structural relaxation at the PBE level of DFT.

a = 3.7060 Å, b = 3.7060 Å, c = 10.7070 Å
α = 90.00°, β = 90.00°, γ = 90.00°
Closest atoms and distances in Å follow each position.
Fractional positions:
1 Tb 0.0000 0.0000 0.0000  4 Tb 3.71, 8 Eu 3.71
2 Pr 0.0000 0.0000 0.5000  4 Pr 3.71, 8 Eu 3.79
3 Eu 0.5000 0.5000 0.2448  4 Eu 3.71, 4 Tb 3.71, 4 Pr 3.79
4 Eu 0.5000 0.5000 0.7552  4 Eu 3.71, 4 Tb 3.71, 4 Pr 3.79

## Properties
Space group: P4/mmm, No. 123
Polymorph energy (0 for the lowest one): 0.06 eV/f.u.
E_form: 98 meV/atom


# 3
Computed, not measured: Ba2SnAsRh6 after structural relaxation at the PBE level of DFT.

a = 6.8135 Å, b = 6.8135 Å, c = 6.8135 Å
α = 58.59°, β = 58.59°, γ = 58.59°
Closest atoms and distances in Å follow each position.
Fractional positions:
1 Ba 0.1940 0.1940 0.1940  1 As 3.27, 9 Rh 3.29-3.65
2 Ba 0.8060 0.8060 0.8060  1 As 3.27, 9 Rh 3.29-3.65
3 Sn 0.5000 0.5000 0.5000  6 Rh 2.74
4 As 0.0000 0.0000 0.0000  6 Rh 2.50
5 Rh 0.1631 0.3164 0.6196  1 As 2.50, 5 Rh 2.68-2.75, 1 Sn 2.74
6 Rh 0.3164 0.6196 0.1631  1 As 2.50, 5 Rh 2.68-2.75, 1 Sn 2.74
7 Rh 0.3804 0.8369 0.6836  1 As 2.50, 5 Rh 2.68-2.75, 1 Sn 2.74
8 Rh 0.6196 0.1631 0.3164  1 As 2.50, 5 Rh 2.68-2.75, 1 Sn 2.74
9 Rh 0.6836 0.3804 0.8369  1 As 2.50, 5 Rh 2.68-2.75, 1 Sn 2.74
10 Rh 0.8369 0.6836 0.3804  1 As 2.50, 5 Rh 2.68-2.75, 1 Sn 2.74

## Properties
Space group: R-3, No. 148
E_form: -380 meV/atom


# 4
Computed, not measured: AlTlCd after structural relaxation at the PBE level of DFT.

a = 3.1413 Å, b = 3.9520 Å, c = 11.6821 Å
α = 90.67°, β = 90.29°, γ = 92.26°
Closest atoms and distances in Å follow each position.
Fractional positions:
1 Al 0.2490 0.2496 0.4419  6 Al 2.81-3.14, 5 Cd 2.97-3.09
2 Al 0.7510 0.7504 0.5581  6 Al 2.81-3.14, 5 Cd 2.97-3.09
3 Tl 0.2400 0.2526 0.1128  2 Tl 3.14, 4 Cd 3.28-3.39
4 Tl 0.7600 0.7474 0.8872  2 Tl 3.14, 4 Cd 3.28-3.39
5 Cd 0.2597 0.2488 0.7000  5 Al 2.97-3.09, 2 Cd 3.14, 2 Tl 3.28-3.33
6 Cd 0.7403 0.7512 0.3000  5 Al 2.97-3.09, 2 Cd 3.14, 2 Tl 3.28-3.33

## Properties
Space group: P-1, No. 2
E_form: 107 meV/atom


# 5
Computed, not measured: Li2Sn2Ge after structural relaxation at the PBE level of DFT.

a = 8.0486 Å, b = 8.0486 Å, c = 3.2797 Å
α = 90.00°, β = 90.00°, γ = 90.00°
Closest atoms and distances in Å follow each position.
Fractional positions:
1 Li 0.1737 0.3263 0.0000  6 Sn 2.78-2.96
2 Li 0.3263 0.8263 0.0000  6 Sn 2.78-2.96
3 Li 0.6737 0.1737 0.0000  6 Sn 2.78-2.96
4 Li 0.8263 0.6737 0.0000  6 Sn 2.78-2.96
5 Sn 0.1290 0.6290 0.5000  6 Li 2.78-2.96, 1 Sn 2.94
6 Sn 0.3710 0.1290 0.5000  6 Li 2.78-2.96, 1 Sn 2.94
7 Sn 0.6290 0.8710 0.5000  6 Li 2.78-2.96, 1 Sn 2.94
8 Sn 0.8710 0.3710 0.5000  6 Li 2.78-2.96, 1 Sn 2.94
9 Ge 0.0000 0.0000 0.5000  4 Sn 3.16, 2 Ge 3.28, 8 Li 3.40
10 Ge 0.5000 0.5000 0.5000  4 Sn 3.16, 2 Ge 3.28, 8 Li 3.40

## Properties
Space group: P4/mbm, No. 127
Polymorph energy (0 for the lowest one): 0.08 eV/f.u.
E_form: -109 meV/atom


# 6
Computed, not measured: CsRbNaBi after structural relaxation at the PBE level of DFT.

a = 6.1938 Å, b = 6.1938 Å, c = 6.1938 Å
α = 60.00°, β = 60.00°, γ = 60.00°
Closest atoms and distances in Å follow each position.
Fractional positions:
1 Cs 0.0000 0.0000 0.0000  4 Rb 3.79, 4 Na 3.79
2 Rb 0.7500 0.7500 0.7500  4 Bi 3.79, 4 Cs 3.79
3 Na 0.2500 0.2500 0.2500  4 Bi 3.79, 4 Cs 3.79
4 Bi 0.5000 0.5000 0.5000  4 Rb 3.79, 4 Na 3.79

## Properties
Space group: F-43m, No. 216
Polymorph energy (0 for the lowest one): 0.10 eV/f.u.
E_form: -316 meV/atom


# 7
Computed, not measured: Dy7Y12Bi after structural relaxation at the PBE level of DFT.

a = 8.6887 Å, b = 8.6887 Å, c = 8.6887 Å
α = 87.37°, β = 87.37°, γ = 87.37°
Closest atoms and distances in Å follow each position.
Fractional positions:
1 Dy 0.0000 0.0000 0.0000  6 Y 3.23
2 Dy 0.1084 0.4277 0.3523  3 Dy 3.37-3.47, 6 Y 3.50-3.76
3 Dy 0.3523 0.1084 0.4277  3 Dy 3.37-3.47, 6 Y 3.50-3.76
4 Dy 0.4277 0.3523 0.1084  3 Dy 3.37-3.47, 6 Y 3.50-3.76
5 Dy 0.5723 0.6477 0.8916  3 Dy 3.37-3.47, 6 Y 3.50-3.76
6 Dy 0.6477 0.8916 0.5723  3 Dy 3.37-3.47, 6 Y 3.50-3.76
7 Dy 0.8916 0.5723 0.6477  3 Dy 3.37-3.47, 6 Y 3.50-3.76
8 Y 0.9999 0.1146 0.6408  4 Y 3.23-3.45, 2 Dy 3.23-3.50
9 Y 0.0001 0.8854 0.3592  4 Y 3.23-3.45, 2 Dy 3.23-3.50
10 Y 0.1146 0.6408 0.9999  4 Y 3.23-3.45, 2 Dy 3.23-3.50
11 Y 0.2391 0.3646 0.7554  6 Y 3.29-3.66, 1 Bi 3.32, 2 Dy 3.54-3.59
12 Y 0.2446 0.7609 0.6354  6 Y 3.29-3.66, 1 Bi 3.32, 2 Dy 3.54-3.59
13 Y 0.3592 0.0001 0.8854  4 Y 3.23-3.45, 2 Dy 3.23-3.50
14 Y 0.3646 0.7554 0.2391  6 Y 3.29-3.66, 1 Bi 3.32, 2 Dy 3.54-3.59
15 Y 0.6354 0.2446 0.7609  6 Y 3.29-3.66, 1 Bi 3.32, 2 Dy 3.54-3.59
16 Y 0.6408 0.9999 0.1146  4 Y 3.23-3.45, 2 Dy 3.23-3.50
17 Y 0.7554 0.2391 0.3646  6 Y 3.29-3.66, 1 Bi 3.32, 2 Dy 3.54-3.59
18 Y 0.7609 0.6354 0.2446  6 Y 3.29-3.66, 1 Bi 3.32, 2 Dy 3.54-3.59
19 Y 0.8854 0.3592 0.0001  4 Y 3.23-3.45, 2 Dy 3.23-3.50
20 Bi 0.5000 0.5000 0.5000  6 Y 3.32

## Properties
Space group: R-3, No. 148
E_form: 131 meV/atom


# 8
Computed, not measured: TiBeCo3 after structural relaxation at the PBE level of DFT.

a = 3.8391 Å, b = 3.8391 Å, c = 3.8391 Å
α = 90.00°, β = 90.00°, γ = 90.00°
Closest atoms and distances in Å follow each position.
Fractional positions:
1 Ti 0.0000 0.0000 0.0000  12 Co 2.71
2 Be 0.5000 0.5000 0.5000  6 Co 1.92
3 Co 0.0000 0.5000 0.5000  2 Be 1.92
4 Co 0.5000 0.0000 0.5000  2 Be 1.92
5 Co 0.5000 0.5000 0.0000  2 Be 1.92

## Properties
Space group: Pm-3m, No. 221
Polymorph energy (0 for the lowest one): 1.27 eV/f.u.
E_form: 36 meV/atom


# 9
Computed, not measured: La2HoTm after structural relaxation at the PBE level of DFT.

a = 5.7796 Å, b = 5.7796 Å, c = 5.7796 Å
α = 60.00°, β = 60.00°, γ = 60.00°
Closest atoms and distances in Å follow each position.
Fractional positions:
1 La 0.2500 0.2500 0.2500  4 Tm 3.54, 4 Ho 3.54
2 La 0.7500 0.7500 0.7500  4 Tm 3.54, 4 Ho 3.54
3 Ho 0.0000 0.0000 0.0000  8 La 3.54
4 Tm 0.5000 0.5000 0.5000  8 La 3.54

## Properties
Space group: Fm-3m, No. 225
Polymorph energy (0 for the lowest one): 0.24 eV/f.u.
E_form: 76 meV/atom


# 10
Computed, not measured: CrIn2Tc after structural relaxation at the PBE level of DFT.

a = 3.0394 Å, b = 3.0394 Å, c = 7.9546 Å
α = 90.00°, β = 90.00°, γ = 90.00°
Closest atoms and distances in Å follow each position.
Fractional positions:
1 Cr 0.0000 0.0000 0.0000  8 In 2.96, 4 Cr 3.04
2 In 0.5000 0.5000 0.2557  4 Tc 2.90, 4 Cr 2.96, 4 In 3.04
3 In 0.5000 0.5000 0.7443  4 Tc 2.90, 4 Cr 2.96, 4 In 3.04
4 Tc 0.0000 0.0000 0.5000  8 In 2.90, 4 Tc 3.04

## Properties
Space group: P4/mmm, No. 123
Polymorph energy (0 for the lowest one): 0.91 eV/f.u.
E_form: 418 meV/atom


# 11
Computed, not measured: NpTcSnIr after structural relaxation at the PBE level of DFT.

a = 4.7127 Å, b = 4.7127 Å, c = 4.7127 Å
α = 60.00°, β = 60.00°, γ = 60.00°
Closest atoms and distances in Å follow each position.
Fractional positions:
1 Np 0.0000 0.0000 0.0000  4 Tc 2.89, 4 Ir 2.89
2 Tc 0.2500 0.2500 0.2500  4 Sn 2.89, 4 Np 2.89
3 Sn 0.5000 0.5000 0.5000  4 Tc 2.89, 4 Ir 2.89
4 Ir 0.7500 0.7500 0.7500  4 Sn 2.89, 4 Np 2.89

## Properties
Space group: F-43m, No. 216
E_form: -118 meV/atom


# 12
Computed, not measured: RbSeIBr2 after structural relaxation at the PBE level of DFT.

a = 5.9636 Å, b = 5.9636 Å, c = 5.4691 Å
α = 90.00°, β = 90.00°, γ = 90.00°
Closest atoms and distances in Å follow each position.
Fractional positions:
1 Rb 0.0000 0.0000 0.0000  8 Br 4.05, 4 Se 4.22
2 Se 0.5000 0.5000 0.0000  2 I 2.73
3 I 0.5000 0.5000 0.5000  2 Se 2.73, 4 Br 2.98
4 Br 0.0000 0.5000 0.5000  2 I 2.98
5 Br 0.5000 0.0000 0.5000  2 I 2.98

## Properties
Space group: P4/mmm, No. 123
Polymorph energy (0 for the lowest one): 1.10 eV/f.u.
ΔE_f (raw): -40.7 kJ per mole of atoms


# 13
Computed, not measured: UGe12Pt4 after structural relaxation at the PBE level of DFT.

a = 7.5191 Å, b = 7.5191 Å, c = 7.5191 Å
α = 109.47°, β = 109.47°, γ = 109.47°
Closest atoms and distances in Å follow each position.
Fractional positions:
1 U 0.0000 0.0000 0.0000  12 Ge 3.32
2 Ge 0.1490 0.3519 0.5009  2 Pt 2.50, 2 Ge 2.57-2.59
3 Ge 0.1490 0.6481 0.7971  2 Pt 2.50, 2 Ge 2.57-2.59
4 Ge 0.2029 0.8510 0.3519  2 Pt 2.50, 2 Ge 2.57-2.59
5 Ge 0.3519 0.2029 0.8510  2 Pt 2.50, 2 Ge 2.57-2.59
6 Ge 0.3519 0.5009 0.1490  2 Pt 2.50, 2 Ge 2.57-2.59
7 Ge 0.4991 0.8510 0.6481  2 Pt 2.50, 2 Ge 2.57-2.59
8 Ge 0.5009 0.1490 0.3519  2 Pt 2.50, 2 Ge 2.57-2.59
9 Ge 0.6481 0.4991 0.8510  2 Pt 2.50, 2 Ge 2.57-2.59
10 Ge 0.6481 0.7971 0.1490  2 Pt 2.50, 2 Ge 2.57-2.59
11 Ge 0.7971 0.1490 0.6481  2 Pt 2.50, 2 Ge 2.57-2.59
12 Ge 0.8510 0.3519 0.2029  2 Pt 2.50, 2 Ge 2.57-2.59
13 Ge 0.8510 0.6481 0.4991  2 Pt 2.50, 2 Ge 2.57-2.59
14 Pt 0.0000 0.0000 0.5000  6 Ge 2.50
15 Pt 0.0000 0.5000 0.0000  6 Ge 2.50
16 Pt 0.5000 0.0000 0.0000  6 Ge 2.50
17 Pt 0.5000 0.5000 0.5000  6 Ge 2.50

## Properties
Space group: Im-3, No. 204
E_form: -288 meV/atom


Total magnetization, record by record: 0.00, 15.10, 0.00, 0.00, 0.00, 0.00, 0.00, 1.00, 0.00, 5.28, 3.05, 0.00, 2.21 Bohr magnetons per cell